(1)
Entry from Alexandria via LeMat-Bulk: a relaxed Na2Ge2Te3 crystal (PBE).

As for the uncorrected formation energy: -0.37 eV/atom. As for the space group: No. 14.

Lattice parameters (Å, degrees): 7.7484 8.0022 7.7837 90.00 71.69 90.00
Element x y z (fractional)
Na1 0.8544 0.6980 0.8045
Na2 0.1456 0.3020 0.1955
Te1 0.7282 0.9804 0.5793
Ge1 0.5105 0.6713 0.3228
Te2 0.0000 0.0000 0.0000
Ge2 0.4895 0.3287 0.6772
Ge3 0.0105 0.8287 0.3228
Te3 0.2718 0.0196 0.4207
Na3 0.6456 0.1980 0.1955
Te4 0.5000 0.5000 0.0000
Na4 0.3544 0.8020 0.8045
Ge4 0.9895 0.1713 0.6772
Te5 0.7718 0.4804 0.4207
Te6 0.2282 0.5196 0.5793


(2)
Entry from Alexandria via LeMat-Bulk: a relaxed Ba2AsAu crystal (PBE).

Its formation energy is -89 kJ/mol of atoms. As for the space group: No. 166.

Lattice parameters (Å, degrees): 4.8305 4.8305 8.2388 72.94 72.94 60.05
Element x y z (fractional)
Ba1 0.9911 0.9911 0.0265
Au1 0.7500 0.7500 0.7500
As1 0.2500 0.2500 0.2500
Ba2 0.5089 0.5089 0.4735


(3)
Entry from Alexandria via LeMat-Bulk: a relaxed CeDy3Y6Ho2 crystal (PBE).

Its formation energy is 4 kJ/mol of atoms. As for the space group: No. 12.

Lattice parameters (Å, degrees): 6.1615 6.1615 11.7881 94.99 94.99 119.97
Last column: magnetic moment on the atom in μB.
Element x y z (fractional)
Dy1 0.1675 0.8325 0.5000  -0.03
Y1 0.7520 0.7520 0.2497  0.01
Y2 0.2480 0.2480 0.7503  0.01
Y3 0.0837 0.4151 0.2496  0.01
Ho1 0.3334 0.6666 0.0000  0.05
Ho2 0.6666 0.3334 0.0000  0.05
Dy2 0.8325 0.1675 0.5000  -0.03
Dy3 0.5000 0.5000 0.5000  -0.03
Y4 0.5849 0.9163 0.7504  0.01
Y5 0.9163 0.5849 0.7504  0.01
Y6 0.4151 0.0837 0.2496  0.01
Ce1 0.0000 0.0000 0.0000  0.78


(4)
Entry from Alexandria via LeMat-Bulk: a relaxed SmTm4Ge4 crystal (PBE).

Its formation energy is -55 kJ/mol of atoms. As for the space group: No. 86.

Lattice parameters (Å, degrees): 5.7195 9.1911 9.1911 90.00 90.00 90.00
Element x y z (fractional)
Ge1 0.1049 0.8574 0.7103
Ge2 0.6049 0.2103 0.6426
Tm1 0.1115 0.8430 0.3956
Ge3 0.3951 0.6426 0.7897
Tm2 0.6115 0.8956 0.6570
Tm3 0.3885 0.3430 0.8956
Ge4 0.8951 0.7103 0.1426
Tm4 0.3885 0.6570 0.1044
Tm5 0.1115 0.1570 0.6044
Tm6 0.8885 0.3956 0.1570
Tm7 0.6115 0.1044 0.3430
Sm1 0.0000 0.0000 0.0000
Tm8 0.8885 0.6044 0.8430
Ge5 0.1049 0.1426 0.2897
Ge6 0.3951 0.3574 0.2103
Ge7 0.8951 0.2897 0.8574
Sm2 0.5000 0.5000 0.5000
Ge8 0.6049 0.7897 0.3574


(5)
Entry from Alexandria via LeMat-Bulk: a relaxed Pr3Dy4Er4 crystal (PBE).

As for the excess energy over the best structure of this formula in the dataset: 138.2 meV/atom. Its formation energy is 15 kJ/mol of atoms. As for the space group: No. 38.

Lattice parameters (Å, degrees): 5.7113 6.6604 10.6272 90.00 90.00 115.39
Element x y z (fractional)
Er1 0.6162 0.2325 0.5000
Dy1 0.9568 0.9136 0.0000
Dy2 0.8892 0.7784 0.5000
Dy3 0.7511 0.5022 0.2152
Dy4 0.7511 0.5022 0.7848
Pr1 0.4079 0.8157 0.2918
Er2 0.1031 0.2063 0.2964
Pr2 0.4079 0.8157 0.7082
Er3 0.1031 0.2063 0.7036
Er4 0.5572 0.1143 0.0000
Pr3 0.2549 0.5097 0.0000


(6)
Entry from Alexandria via LeMat-Bulk: a relaxed NaPPtO2 crystal (PBE).

As for the uncorrected formation energy: 0.03 eV/atom. As for the excess energy over the best structure of this formula in the dataset: 0.0 meV/atom. As for the space group: No. 123.

Lattice parameters (Å, degrees): 4.0085 4.0085 4.9530 90.00 90.00 90.00
Last column: magnetic moment on the atom in μB.
Element x y z (fractional)
Na1 0.5000 0.5000 0.5000  0.00
P1 0.0000 0.0000 0.5000  0.13
Pt1 0.0000 0.0000 0.0000  0.56
O1 0.0000 0.5000 0.0000  0.39
O2 0.5000 0.0000 0.0000  0.39


(7)
Entry from Alexandria via LeMat-Bulk: a relaxed Se3SBr crystal (PBE).

As for the uncorrected formation energy: 0.70 eV/atom. As for the excess energy over the best structure of this formula in the dataset: 0.0 meV/atom. As for the space group: No. 221.

Lattice parameters (Å, degrees): 4.9317 4.9317 4.9317 90.00 90.00 90.00
Element x y z (fractional)
Br1 0.5000 0.5000 0.5000
Se1 0.0000 0.0000 0.5000
Se2 0.5000 0.0000 0.0000
S1 0.0000 0.0000 0.0000
Se3 0.0000 0.5000 0.0000


(8)
Entry from Alexandria via LeMat-Bulk: a relaxed BeOs2Br crystal (PBE).

As for the uncorrected formation energy: 1.11 eV/atom. As for the excess energy over the best structure of this formula in the dataset: 569.6 meV/atom. As for the space group: No. 12.

Lattice parameters (Å, degrees): 4.5348 5.1610 2.9708 74.59 87.13 115.14
Element x y z (fractional)
Br1 0.5000 0.5000 0.0000
Os1 0.5000 0.0000 0.5000
Be1 0.0000 0.5000 0.5000
Os2 0.0000 0.0000 0.0000


(9)
Entry from Alexandria via LeMat-Bulk: a relaxed P2Au2I crystal (PBE).

As for the uncorrected formation energy: 0.48 eV/atom. As for the excess energy over the best structure of this formula in the dataset: 47.8 meV/atom. As for the space group: No. 127.

Lattice parameters (Å, degrees): 8.1634 8.1634 3.9073 90.00 90.00 90.00
Element x y z (fractional)
P1 0.7321 0.7679 0.0000
P2 0.2321 0.7321 0.0000
P3 0.7679 0.2679 0.0000
Au1 0.8788 0.3788 0.5000
P4 0.2679 0.2321 0.0000
Au2 0.3788 0.1212 0.5000
Au3 0.6212 0.8788 0.5000
I1 0.0000 0.0000 0.0000
I2 0.5000 0.5000 0.0000
Au4 0.1212 0.6212 0.5000


(10)
Entry from Alexandria via LeMat-Bulk: a relaxed Li2PmAlHg4 crystal (PBE).

Its formation energy is -30 kJ/mol of atoms. As for the space group: No. 166.

Lattice parameters (Å, degrees): 4.6607 4.6607 9.5887 75.93 75.93 60.00
Element x y z (fractional)
Li1 0.7664 0.7664 0.7008
Pm1 0.0000 0.0000 0.0000
Hg1 0.8765 0.8765 0.3704
Hg2 0.3926 0.3926 0.8223
Al1 0.5000 0.5000 0.5000
Li2 0.2336 0.2336 0.2992
Hg3 0.1235 0.1235 0.6296
Hg4 0.6074 0.6074 0.1777


(11)
Entry from Alexandria via LeMat-Bulk: a relaxed RbMg2NiAu crystal (PBE).

Its formation energy is 51 kJ/mol of atoms. As for the space group: No. 123.

Lattice parameters (Å, degrees): 5.1748 6.2673 5.1748 90.00 90.00 90.00
Last column: magnetic moment on the atom in μB.
Element x y z (fractional)
Ni1 0.5000 0.5000 0.5000  0.84
Au1 0.0000 0.0000 0.0000  0.00
Mg1 0.0000 0.0000 0.5000  0.00
Mg2 0.5000 0.0000 0.0000  0.01
Rb1 0.0000 0.5000 0.0000  -0.01


(12)
Entry from Alexandria via LeMat-Bulk: a relaxed HPbIBr2 crystal (PBE).

The value obtained for the electronic total energy is -11.90 eV for the cell shown. As for the space group: No. 123.

Lattice parameters (Å, degrees): 6.0035 4.0826 6.0035 90.00 90.00 90.00
Last column: magnetic moment on the atom in μB.
Element x y z (fractional)
Br1 0.5000 0.0000 0.0000  0.13
H1 0.0000 0.5000 0.0000  0.00
I1 0.5000 0.5000 0.5000  0.54
Pb1 0.0000 0.0000 0.0000  -0.01
Br2 0.0000 0.0000 0.5000  0.15